Material: Ta5Mo4Os
Method: DFT, PBE
State: optimized geometry

Cell and atoms, written as POSCAR:
```
Ta5Mo4Os
1.0
3.218 0.000 0.000
0.000 3.218 0.000
0.000 0.000 16.141
Ta Mo Os
5 4 1
Direct
0.000 0.000 0.000
0.000 0.000 0.201
0.000 0.000 0.400
0.000 0.000 0.600
0.000 0.000 0.799
0.500 0.500 0.100
0.500 0.500 0.302
0.500 0.500 0.698
0.500 0.500 0.900
0.500 0.500 0.500
```

Computed properties:
Space group: No. 123



Material: TaMo2Os
Method: DFT, PBE
State: optimized geometry

Cell and atoms, written as POSCAR:
```
TaMo2Os
1.0
2.793 0.000 0.000
0.000 4.433 0.000
-0.946 0.000 5.164
Ta Mo Os
1 2 1
Direct
0.000 0.000 0.000
0.530 0.000 0.498
0.755 0.500 0.262
0.251 0.500 0.760
```

Computed properties:
Energy relative to the lowest polymorph listed for this composition (meV/atom): 68
Space group: No. 6



Material: TaMo2Os
Method: DFT, PBE
State: optimized geometry

Cell and atoms, written as POSCAR:
```
TaMo2Os
1.0
3.171 0.000 0.000
0.000 3.171 0.000
0.000 0.000 6.378
Ta Mo Os
1 2 1
Direct
0.000 0.000 0.000
0.000 0.000 0.489
0.500 0.500 0.258
0.500 0.500 0.757
```

Computed properties:
Energy relative to the lowest polymorph listed for this composition (meV/atom): 5
Space group: No. 99



Material: TaMo2Os2
Method: DFT, PBE
State: optimized geometry

Cell and atoms, written as POSCAR:
```
TaMo2Os2
1.0
7.565 0.000 0.000
0.000 7.565 0.000
0.000 0.000 2.839
Ta Mo Os
2 4 4
Direct
0.000 0.000 0.000
0.500 0.500 0.000
0.128 0.372 0.000
0.372 0.872 0.000
0.628 0.128 0.000
0.872 0.628 0.000
0.171 0.671 0.500
0.329 0.171 0.500
0.671 0.829 0.500
0.829 0.329 0.500
```

Computed properties:
Energy relative to the lowest polymorph listed for this composition (meV/atom): 101
Space group: No. 127



Material: Ta2MoOs
Method: DFT, PBE
State: optimized geometry

Cell and atoms, written as POSCAR:
```
Ta2MoOs
1.0
1.523 0.879 8.456
-1.523 0.879 8.456
0.000 -1.759 8.456
Ta Mo Os
2 1 1
Direct
0.250 0.250 0.250
0.750 0.750 0.750
0.000 0.000 0.000
0.500 0.500 0.500
```

Computed properties:
Space group: No. 166



Material: Ta4MoOs
Method: DFT, PBE
State: optimized geometry

Cell and atoms, written as POSCAR:
```
Ta4MoOs
1.0
3.220 0.000 0.000
0.000 3.220 0.000
0.000 0.000 9.861
Ta Mo Os
4 1 1
Direct
0.000 0.000 0.161
0.000 0.000 0.839
0.500 0.500 0.338
0.500 0.500 0.662
0.000 0.000 0.500
0.500 0.500 0.000
```

Computed properties:
Energy relative to the lowest polymorph listed for this composition (meV/atom): 0
Space group: No. 123



no.,formation energy (eV per atom),volume (Å³/cell),total magnetic moment (μB per cell)
1,-0.26,167.11,0.0
2,-0.04,63.95,0.0
3,-0.10,64.12,0.0
4,0.23,162.45,0.0
5,0.13,67.96,0.0
6,-0.27,102.26,0.0